The following is a DFT calculation (GGA-PBE) of an optimized crystal structure of CdCo2AsPd.

Computed properties:
Space group: P4/mmm, No. 123
DFT formation energy (eV/atom): 1.08
Density of states at the Fermi level (states/eV/cell): 7.214
Crystal system: tetragonal
Total magnetic moment (μB/f.u.): 4.48

Unit cell a=4.6147 b=4.6147 c=5.0165 alpha=90.00 beta=90.00 gamma=90.00
Last column: nearest neighbours and their distance in Å.
Fractional positions:
1 Cd 0.0000 0.0000 0.0000  2 Pd 2.51
2 Co 0.0000 0.5000 0.5000  2 Pd 2.31
3 Co 0.5000 0.0000 0.5000  2 Pd 2.31
4 As 0.5000 0.5000 0.0000  4 Cd 3.26, 8 Co 3.41
5 Pd 0.0000 0.0000 0.5000  4 Co 2.31, 2 Cd 2.51